! NaRe2Rh PBE-GGA relaxed; values from VASP
&SYSTEM
  ibrav = 0, nat = 8, ntyp = 3
/
ATOMIC_SPECIES
Re 186.21 Re.upf
Na 22.99 Na.upf
Rh 102.91 Rh.upf
CELL_PARAMETERS angstrom
7.592 0.000 0.000
0.000 7.592 0.000
3.796 3.796 2.491
ATOMIC_POSITIONS crystal
Re 0.068 0.625 0.250
Re 0.375 0.318 0.750
Re 0.682 0.125 0.250
Re 0.875 0.932 0.750
Na 0.250 0.750 0.500
Na 0.500 0.500 0.000
Rh 0.750 0.250 0.500
Rh 0.000 0.000 0.000
! ΔE to the lowest computed polymorph in meV per atom: 26
! DOS(E_F) in states/eV/cell: 8.04
! ΔE_f in eV per atom: 1.192
! DFT total energy in eV/atom: -7.199

***

! Ac6CoNi2 PBE-GGA relaxed; values from VASP
&SYSTEM
  ibrav = 0, nat = 18, ntyp = 3
/
ATOMIC_SPECIES
Ac 227.00 Ac.upf
Ni 58.69 Ni.upf
Co 58.93 Co.upf
CELL_PARAMETERS angstrom
6.924 0.000 0.000
0.000 7.314 0.001
0.000 0.001 12.514
ATOMIC_POSITIONS crystal
Ac 0.760 0.832 0.338
Ac 0.740 0.332 0.838
Ac 0.742 0.332 0.162
Ac 0.730 0.830 0.000
Ac 0.270 0.170 0.000
Ac 0.260 0.668 0.162
Ac 0.230 0.670 0.500
Ac 0.258 0.668 0.838
Ac 0.770 0.330 0.500
Ac 0.240 0.168 0.662
Ac 0.758 0.832 0.662
Ac 0.242 0.168 0.338
Ni 0.501 0.000 0.175
Ni 0.999 0.500 0.675
Ni 0.001 0.500 0.325
Ni 0.499 0.000 0.825
Co 0.000 0.000 0.500
Co 0.500 0.500 0.000
! DOS(E_F) in states/eV/cell: 16.45
! ΔE_f in eV per atom: -0.118
! DFT total energy in eV/atom: -4.931

***

! ThCo2GeH2 PBE-GGA relaxed; values from VASP
&SYSTEM
  ibrav = 0, nat = 12, ntyp = 4
/
ATOMIC_SPECIES
Co 58.93 Co.upf
Th 232.04 Th.upf
Ge 72.64 Ge.upf
H 1.01 H.upf
CELL_PARAMETERS angstrom
5.138 0.000 0.000
0.000 5.203 0.104
0.000 -1.785 5.938
ATOMIC_POSITIONS crystal
Co 0.001 0.832 0.778
Co 0.501 0.168 0.222
Co 0.499 0.832 0.778
Co 0.999 0.168 0.222
Th 0.750 0.289 0.659
Th 0.250 0.711 0.341
Ge 0.750 0.782 0.081
Ge 0.250 0.218 0.919
H 0.250 0.624 0.705
H 0.250 0.223 0.401
H 0.750 0.376 0.295
H 0.750 0.777 0.599
! DOS(E_F) in states/eV/cell: 6.75
! DFT total energy in eV/atom: -5.774

***

! YLu2Hg PBE-GGA relaxed; values from VASP
&SYSTEM
  ibrav = 0, nat = 4, ntyp = 3
/
ATOMIC_SPECIES
Hg 200.59 Hg.upf
Lu 174.97 Lu.upf
Y 88.91 Y.upf
CELL_PARAMETERS angstrom
-2.279 1.505 3.862
3.441 -1.820 2.740
2.358 4.130 -0.218
ATOMIC_POSITIONS crystal
Hg 0.500 0.500 0.500
Lu 0.000 0.500 0.000
Lu 0.000 0.000 0.500
Y 0.500 0.000 0.000
! ΔE to the lowest computed polymorph in meV per atom: 80
! DOS(E_F) in states/eV/cell: 4.79
! ΔE_f in eV per atom: -0.150
! DFT total energy in eV/atom: -4.102

***

! SmTh2Ga2Cu2 PBE-GGA relaxed; values from VASP
&SYSTEM
  ibrav = 0, nat = 7, ntyp = 4
/
ATOMIC_SPECIES
Ga 69.72 Ga.upf
Cu 63.55 Cu.upf
Th 232.04 Th.upf
Sm 150.36 Sm.upf
CELL_PARAMETERS angstrom
-1.564 -3.174 -2.594
-1.843 -3.568 1.767
-9.539 2.018 -0.427
ATOMIC_POSITIONS crystal
Ga 0.733 0.733 0.801
Ga 0.267 0.267 0.199
Cu 0.600 0.600 0.199
Cu 0.400 0.400 0.801
Th 0.872 0.872 0.385
Th 0.128 0.128 0.615
Sm 0.000 0.000 0.000
! DOS(E_F) in states/eV/cell: 4.88
! ΔE_f in eV per atom: -0.296
! DFT total energy in eV/atom: -5.125

***

! Be2InAs PBE-GGA relaxed; values from VASP
&SYSTEM
  ibrav = 0, nat = 4, ntyp = 3
/
ATOMIC_SPECIES
As 74.92 As.upf
In 114.82 In.upf
Be 9.01 Be.upf
CELL_PARAMETERS angstrom
4.735 0.110 -0.028
-0.921 4.646 -0.028
0.345 0.430 2.854
ATOMIC_POSITIONS crystal
As 0.000 0.500 0.500
In 0.500 0.000 0.500
Be 0.500 0.500 0.000
Be 0.000 0.000 0.000
! ΔE to the lowest computed polymorph in meV per atom: 355
! DOS(E_F) in states/eV/cell: 1.28
! ΔE_f in eV per atom: 0.597
! DFT total energy in eV/atom: -3.113

***

! KTcHg2 PBE-GGA relaxed; values from VASP
&SYSTEM
  ibrav = 0, nat = 4, ntyp = 3
/
ATOMIC_SPECIES
Hg 200.59 Hg.upf
Tc 98.00 Tc.upf
K 39.10 K.upf
CELL_PARAMETERS angstrom
4.855 -0.008 -0.004
3.979 2.782 -0.004
0.666 0.209 7.424
ATOMIC_POSITIONS crystal
Hg 0.489 0.489 0.563
Hg 0.011 0.011 0.937
Tc 0.750 0.750 0.750
K 0.250 0.250 0.250
! ΔE to the lowest computed polymorph in meV per atom: 99
! DOS(E_F) in states/eV/cell: 3.90
! ΔE_f in eV per atom: 0.606
! DFT total energy in eV/atom: -2.411

***

! Nd8Ge3AsSe4 PBE-GGA relaxed; values from VASP
&SYSTEM
  ibrav = 0, nat = 16, ntyp = 4
/
ATOMIC_SPECIES
Nd 144.24 Nd.upf
Se 78.96 Se.upf
Ge 72.64 Ge.upf
As 74.92 As.upf
CELL_PARAMETERS angstrom
8.550 0.000 0.000
0.000 8.573 0.010
-4.275 -4.271 6.049
ATOMIC_POSITIONS crystal
Nd 0.753 0.261 0.506
Nd 0.753 0.261 0.008
Nd 0.255 0.261 0.008
Nd 0.747 0.741 0.494
Nd 0.745 0.739 0.992
Nd 0.253 0.259 0.506
Nd 0.247 0.739 0.992
Nd 0.247 0.739 0.494
Se 0.500 0.000 0.000
Se 0.000 0.000 0.500
Se 0.500 0.000 0.500
Se 0.000 0.000 0.000
Ge 0.500 0.500 0.000
Ge 0.500 0.500 0.500
Ge 0.000 0.500 0.500
As 0.000 0.500 0.000
! E_form (uncorrected) in eV/atom: -1.50
! DOS(E_F) in states/eV/cell: 3.95
! DFT total energy in eV/atom: -5.907

***

Question: Which of these has the lowest DOS(E_F)?
Answer: Be2InAs